## a
# Tb12PrSm7

A relaxed structure of Tb12PrSm7 (PBE-GGA, Alexandria).

Lattice parameters (Å, degrees): 8.7736 8.7736 8.7736 94.97 94.97 94.97
Sites, in units of the cell vectors:
Tb 0.8131 0.2510 0.6808
Tb 0.7490 0.3192 0.1869
Tb 0.4792 0.1464 0.4145
Tb 0.8536 0.5855 0.5208
Tb 0.3192 0.1869 0.7490
Tb 0.5855 0.5208 0.8536
Tb 0.4145 0.4792 0.1464
Tb 0.6808 0.8131 0.2510
Tb 0.1464 0.4145 0.4792
Tb 0.5208 0.8536 0.5855
Tb 0.2510 0.6808 0.8131
Tb 0.1869 0.7490 0.3192
Pr 0.0000 0.0000 0.0000
Sm 0.9152 0.6454 0.9822
Sm 0.3546 0.0178 0.0848
Sm 0.0178 0.0848 0.3546
Sm 0.5000 0.5000 0.5000
Sm 0.9822 0.9152 0.6454
Sm 0.6454 0.9822 0.9152
Sm 0.0848 0.3546 0.0178

Properties
- SG = R-3 (148)



## b
# Tb12PrSm7

A relaxed structure of Tb12PrSm7 (PBE-GGA, Alexandria).

Lattice parameters (Å, degrees): 9.8310 9.8310 9.8310 109.47 109.47 109.47
Sites, in units of the cell vectors:
Tb 0.4962 0.7483 0.7478
Tb 0.0005 0.7483 0.2522
Tb 0.5038 0.2517 0.2522
Tb 0.9995 0.2517 0.7478
Tb 0.7478 0.9995 0.2517
Tb 0.7478 0.4962 0.7483
Tb 0.2522 0.0005 0.7483
Tb 0.2522 0.5038 0.2517
Tb 0.7483 0.7478 0.4962
Tb 0.2517 0.2522 0.5038
Tb 0.7483 0.2522 0.0005
Tb 0.2517 0.7478 0.9995
Pr 0.0000 0.0000 0.0000
Sm 0.5000 0.5000 0.0000
Sm 0.0000 0.5000 0.5000
Sm 0.5000 0.0000 0.5000
Sm 0.5000 0.5000 0.5000
Sm 0.0000 0.0000 0.5000
Sm 0.5000 0.0000 0.0000
Sm 0.0000 0.5000 0.0000

Properties
- SG = Im-3m (229)



Which structure is most stable? a, by 0.356 eV/atom over the runner-up.



## a
# Tb3PrSm2

A relaxed structure of Tb3PrSm2 (PBE-GGA, Alexandria).

Lattice parameters (Å, degrees): 9.0530 6.7077 6.7077 95.09 82.06 82.06
Sites, in units of the cell vectors:
Tb 0.2500 0.4195 0.5805
Tb 0.7500 0.5805 0.4195
Tb 0.9985 0.8354 0.6678
Tb 0.5015 0.3322 0.1646
Tb 0.4985 0.6678 0.8354
Tb 0.0015 0.1646 0.3322
Pr 0.7500 0.9140 0.0860
Pr 0.2500 0.0860 0.9140
Sm 0.6258 0.1289 0.6237
Sm 0.1258 0.6237 0.1289
Sm 0.8742 0.3763 0.8711
Sm 0.3742 0.8711 0.3763

Properties
- SG = C2/c (15)



## b
# Tb3PrSm2

A relaxed structure of Tb3PrSm2 (PBE-GGA, Alexandria).

Lattice parameters (Å, degrees): 6.4260 8.1820 8.1820 71.53 90.00 90.00
Sites, in units of the cell vectors:
Tb 0.1085 0.8761 0.5110
Tb 0.6085 0.4890 0.1239
Tb 0.1085 0.5110 0.8761
Tb 0.6085 0.1239 0.4890
Tb 0.3152 0.9177 0.9177
Tb 0.8152 0.0823 0.0823
Pr 0.7895 0.8243 0.8243
Pr 0.2895 0.1757 0.1757
Sm 0.5682 0.7405 0.3779
Sm 0.0682 0.6221 0.2595
Sm 0.5682 0.3779 0.7405
Sm 0.0682 0.2595 0.6221

Properties
- SG = Cmc2_1 (36)



Which structure is most stable? a, by 0.149 eV/atom over the runner-up.



## a
# Tb6PrSm12

A relaxed structure of Tb6PrSm12 (PBE-GGA, Alexandria).

Lattice parameters (Å, degrees): 8.8115 8.8115 8.8115 98.83 98.83 98.83
Sites, in units of the cell vectors:
Tb 0.9015 0.3409 0.9015
Tb 0.9015 0.9015 0.3409
Tb 0.3409 0.9015 0.9015
Tb 0.0985 0.0985 0.6591
Tb 0.0985 0.6591 0.0985
Tb 0.6591 0.0985 0.0985
Pr 0.0000 0.0000 0.0000
Sm 0.7591 0.2409 0.5000
Sm 0.3556 0.0832 0.3556
Sm 0.3556 0.3556 0.0832
Sm 0.9168 0.6444 0.6444
Sm 0.6444 0.6444 0.9168
Sm 0.6444 0.9168 0.6444
Sm 0.5000 0.7591 0.2409
Sm 0.2409 0.5000 0.7591
Sm 0.2409 0.7591 0.5000
Sm 0.5000 0.2409 0.7591
Sm 0.7591 0.5000 0.2409
Sm 0.0832 0.3556 0.3556

Properties
- SG = R-3m (166)



## b
# Tb6PrSm12

A relaxed structure of Tb6PrSm12 (PBE-GGA, Alexandria).

Lattice parameters (Å, degrees): 8.6457 8.6457 8.6457 88.92 88.92 88.92
Sites, in units of the cell vectors:
Tb 0.7404 0.9032 0.3042
Tb 0.6958 0.2596 0.0968
Tb 0.0968 0.6958 0.2596
Tb 0.2596 0.0968 0.6958
Tb 0.3042 0.7404 0.9032
Tb 0.9032 0.3042 0.7404
Pr 0.0000 0.0000 0.0000
Sm 0.7779 0.5384 0.4337
Sm 0.4337 0.7779 0.5384
Sm 0.5384 0.4337 0.7779
Sm 0.2221 0.4616 0.5663
Sm 0.5663 0.2221 0.4616
Sm 0.4616 0.5663 0.2221
Sm 0.0152 0.1998 0.3600
Sm 0.8002 0.6400 0.9848
Sm 0.6400 0.9848 0.8002
Sm 0.9848 0.8002 0.6400
Sm 0.1998 0.3600 0.0152
Sm 0.3600 0.0152 0.1998

Properties
- SG = R-3 (148)



Which structure is most stable? b, by 0.059 eV/atom over the runner-up.



## a
# Tb4PrSm6

A relaxed structure of Tb4PrSm6 (PBE-GGA, Alexandria).

Lattice parameters (Å, degrees): 7.6419 7.6419 8.6000 116.38 116.38 90.00
Sites, in units of the cell vectors:
Tb 0.0866 0.7562 0.8428
Tb 0.9134 0.9134 0.1572
Tb 0.7562 0.0866 0.8428
Tb 0.2438 0.2438 0.1572
Pr 0.5000 0.5000 0.0000
Sm 0.9224 0.4528 0.3753
Sm 0.4528 0.9224 0.3753
Sm 0.5472 0.5472 0.6247
Sm 0.0000 0.5000 0.0000
Sm 0.0776 0.0776 0.6247
Sm 0.5000 0.0000 0.0000

Properties
- SG = I-42m (121)



## b
# Tb4PrSm6

A relaxed structure of Tb4PrSm6 (PBE-GGA, Alexandria).

Lattice parameters (Å, degrees): 9.9308 9.9308 9.9308 55.87 141.31 141.31
Sites, in units of the cell vectors:
Tb 0.0000 0.6362 0.0102
Tb 0.3741 0.3638 0.3638
Tb 0.0000 0.0102 0.6362
Tb 0.6259 0.9898 0.9898
Pr 0.0000 0.0000 0.0000
Sm 0.0000 0.8126 0.4541
Sm 0.0000 0.4541 0.8126
Sm 0.3585 0.5459 0.5459
Sm 0.5000 0.5000 0.0000
Sm 0.6415 0.1874 0.1874
Sm 0.5000 0.0000 0.5000

Properties
- SG = I-42m (121)



Which structure is most stable? b, by 0.076 eV/atom over the runner-up.



## a
# Tb3Pr2Sm5

A relaxed structure of Tb3Pr2Sm5 (PBE-GGA, Alexandria).

Lattice parameters (Å, degrees): 9.5742 9.6087 11.2601 125.35 125.28 69.07
Sites, in units of the cell vectors:
Tb 0.2275 0.9775 0.9549
Tb 0.7725 0.0225 0.0451
Tb 0.7334 0.4629 0.2418
Tb 0.2666 0.5371 0.7582
Tb 0.0084 0.7789 0.2418
Tb 0.9916 0.2211 0.7582
Pr 0.7828 0.0161 0.7492
Pr 0.2172 0.9839 0.2508
Pr 0.4664 0.7331 0.7492
Pr 0.5336 0.2669 0.2508
Sm 0.2802 0.5302 0.0605
Sm 0.7198 0.4698 0.9395
Sm 0.0193 0.7693 0.5387
Sm 0.5232 0.2732 0.5463
Sm 0.9807 0.2307 0.4613
Sm 0.4768 0.7268 0.4537
Sm 0.8665 0.6122 0.7625
Sm 0.1335 0.3878 0.2375
Sm 0.3960 0.1504 0.7625
Sm 0.6040 0.8496 0.2375

Properties
- SG = C2/c (15)



## b
# Tb3Pr2Sm5

A relaxed structure of Tb3Pr2Sm5 (PBE-GGA, Alexandria).

Lattice parameters (Å, degrees): 6.8972 12.4665 12.4665 44.78 73.94 73.94
Sites, in units of the cell vectors:
Tb 0.2500 0.0000 0.0000
Tb 0.7500 0.0000 0.0000
Tb 0.3780 0.3712 0.8728
Tb 0.6220 0.6288 0.1272
Tb 0.8780 0.8728 0.3712
Tb 0.1220 0.1272 0.6288
Pr 0.1230 0.7758 0.9781
Pr 0.8770 0.2242 0.0219
Pr 0.6230 0.9781 0.7758
Pr 0.3770 0.0219 0.2242
Sm 0.2500 0.5000 0.5000
Sm 0.7500 0.5000 0.5000
Sm 0.4993 0.7507 0.7507
Sm 0.0007 0.2493 0.2493
Sm 0.5007 0.2493 0.2493
Sm 0.9993 0.7507 0.7507
Sm 0.1260 0.4655 0.2826
Sm 0.8740 0.5345 0.7174
Sm 0.6260 0.2826 0.4655
Sm 0.3740 0.7174 0.5345

Properties
- SG = Ibam (72)



Which structure is most stable? a, by 0.188 eV/atom over the runner-up.